No. 1
# Y4NiTe

Crystalline Y4NiTe at its relaxed geometry (PBE, the Alexandria database).

abc: 8.312 3.893 19.526
angles: 90.00 90.00 90.00
Space group Pnma (No. 62)
Symmetry-distinct sites (fractional):
Y 0.019 0.250 0.069 (multiplicity 4)
Y 0.043 0.750 0.217 (multiplicity 4)
Y 0.137 0.750 0.649 (multiplicity 4)
Y 0.146 0.750 0.451 (multiplicity 4)
Ni 0.232 0.250 0.551 (multiplicity 4)
Te 0.244 0.250 0.314 (multiplicity 4)

Calculated values
ρ in g/cm³: 5.7
Energy above the most stable polymorph in this dataset in meV/atom: 0
Volume in Å³/cell: 632
E_form (uncorrected) in meV/atom: -596


No. 2
# Y6Ni2Te

Crystalline Y6Ni2Te at its relaxed geometry (PBE, the Alexandria database).

abc: 9.285 9.845 10.329
angles: 90.00 90.00 90.00
Space group Immm (No. 71)
Symmetry-distinct sites (fractional):
Y 0.000 0.205 0.223 (multiplicity 8)
Y 0.188 0.500 0.174 (multiplicity 8)
Y 0.201 0.319 0.500 (multiplicity 8)
Ni 0.000 0.360 0.000 (multiplicity 4)
Ni 0.000 0.500 0.376 (multiplicity 4)
Te 0.000 0.000 0.000 (multiplicity 2)
Te 0.000 0.000 0.500 (multiplicity 2)

Calculated values
ρ in g/cm³: 5.5
Volume in Å³/cell: 944
E_form (uncorrected) in meV/atom: -437


No. 3
# YNi2Te2

Crystalline YNi2Te2 at its relaxed geometry (PBE, the Alexandria database).

abc: 3.938 3.938 13.158
angles: 90.00 90.00 90.00
Space group I4/mmm (No. 139)
Symmetry-distinct sites (fractional):
Y 0.000 0.000 0.000 (multiplicity 2)
Ni 0.000 0.500 0.250 (multiplicity 4)
Te 0.000 0.000 0.373 (multiplicity 4)

Calculated values
ρ in g/cm³: 7.5
Energy above the most stable polymorph in this dataset in meV/atom: 0
Volume in Å³/cell: 204
E_form (uncorrected) in meV/atom: -503


No. 4
# Y4NiTe

Crystalline Y4NiTe at its relaxed geometry (PBE, the Alexandria database).

abc: 8.799 8.799 8.799
angles: 90.00 90.00 90.00
Space group F-43m (No. 216)
Symmetry-distinct sites (fractional):
Y 0.125 0.125 0.125 (multiplicity 16)
Ni 0.250 0.250 0.750 (multiplicity 4)
Te 0.000 0.000 0.500 (multiplicity 4)

Calculated values
ρ in g/cm³: 5.3
Energy above the most stable polymorph in this dataset in meV/atom: 1048
Volume in Å³/cell: 681
E_form (uncorrected) in meV/atom: 453


No. 5
# Y6NiTe3

Crystalline Y6NiTe3 at its relaxed geometry (PBE, the Alexandria database).

abc: 12.152 3.953 12.553
angles: 90.00 105.37 90.00
Space group P2_1/m (No. 11)
Symmetry-distinct sites (fractional):
Y 0.014 0.250 0.354 (multiplicity 2)
Y 0.080 0.250 0.891 (multiplicity 2)
Y 0.274 0.750 0.316 (multiplicity 2)
Y 0.282 0.750 0.767 (multiplicity 2)
Y 0.404 0.250 0.562 (multiplicity 2)
Y 0.459 0.750 0.148 (multiplicity 2)
Ni 0.451 0.250 0.320 (multiplicity 2)
Te 0.121 0.250 0.149 (multiplicity 2)
Te 0.175 0.750 0.517 (multiplicity 2)
Te 0.342 0.250 0.962 (multiplicity 2)

Calculated values
ρ in g/cm³: 5.6
Volume in Å³/cell: 581
E_form (uncorrected) in meV/atom: -798


No. 6
# YNi2Te2

Crystalline YNi2Te2 at its relaxed geometry (PBE, the Alexandria database).

abc: 4.889 4.889 8.640
angles: 90.00 90.00 90.00
Space group I4/mmm (No. 139)
Symmetry-distinct sites (fractional):
Y 0.000 0.000 0.000 (multiplicity 2)
Ni 0.000 0.000 0.355 (multiplicity 4)
Te 0.000 0.500 0.250 (multiplicity 4)

Calculated values
ρ in g/cm³: 7.4
Energy above the most stable polymorph in this dataset in meV/atom: 113
Volume in Å³/cell: 207
E_form (uncorrected) in meV/atom: -390


No. 7
# Y3NiTe

Crystalline Y3NiTe at its relaxed geometry (PBE, the Alexandria database).

abc: 5.237 5.237 5.237
angles: 90.00 90.00 90.00
Space group Pm-3m (No. 221)
Symmetry-distinct sites (fractional):
Y 0.000 0.000 0.500 (multiplicity 3)
Ni 0.000 0.000 0.000 (multiplicity 1)
Te 0.500 0.500 0.500 (multiplicity 1)

Calculated values
ρ in g/cm³: 5.2
Energy above the most stable polymorph in this dataset in meV/atom: 266
Volume in Å³/cell: 144
E_form (uncorrected) in meV/atom: -444


No. 8
# Y3Ni5Te12

Crystalline Y3Ni5Te12 at its relaxed geometry (PBE, the Alexandria database).

abc: 16.341 16.341 16.341
angles: 90.00 90.00 90.00
Space group Ia-3d (No. 230)
Symmetry-distinct sites (fractional):
Y 0.000 0.250 0.125 (multiplicity 24)
Ni 0.000 0.000 0.000 (multiplicity 16)
Ni 0.000 0.250 0.375 (multiplicity 24)
Te 0.029 0.057 0.647 (multiplicity 96)

Calculated values
ρ in g/cm³: 6.4
Volume in Å³/cell: 4364
E_form (uncorrected) in meV/atom: -504


No. 9
# YNi3Te

Crystalline YNi3Te at its relaxed geometry (PBE, the Alexandria database).

abc: 4.637 4.637 4.637
angles: 90.00 90.00 90.00
Space group Pm-3m (No. 221)
Symmetry-distinct sites (fractional):
Y 0.000 0.000 0.000 (multiplicity 1)
Ni 0.000 0.500 0.500 (multiplicity 3)
Te 0.500 0.500 0.500 (multiplicity 1)

Calculated values
ρ in g/cm³: 6.5
Energy above the most stable polymorph in this dataset in meV/atom: 0
Volume in Å³/cell: 100
E_form (uncorrected) in meV/atom: 148


No. 10
# ZnNiTe2

Crystalline ZnNiTe2 at its relaxed geometry (PBE, the Alexandria database).

abc: 3.758 6.384 7.775
angles: 90.00 90.00 90.00
Space group Cmmm (No. 65)
Symmetry-distinct sites (fractional):
Zn 0.000 0.000 0.000 (multiplicity 2)
Ni 0.000 0.000 0.500 (multiplicity 2)
Te 0.000 0.500 0.280 (multiplicity 4)

Calculated values
ρ in g/cm³: 6.8
Energy above the most stable polymorph in this dataset in meV/atom: 380
Volume in Å³/cell: 187
E_form (uncorrected) in meV/atom: 181


No. 11
# ZnNiTe2

Crystalline ZnNiTe2 at its relaxed geometry (PBE, the Alexandria database).

abc: 3.798 3.798 12.797
angles: 90.00 90.00 90.00
Space group I-4m2 (No. 119)
Symmetry-distinct sites (fractional):
Zn 0.000 0.000 0.000 (multiplicity 2)
Ni 0.000 0.500 0.750 (multiplicity 2)
Te 0.000 0.000 0.500 (multiplicity 2)
Te 0.000 0.500 0.250 (multiplicity 2)

Calculated values
ρ in g/cm³: 6.8
Energy above the most stable polymorph in this dataset in meV/atom: 467
Volume in Å³/cell: 185
E_form (uncorrected) in meV/atom: 268


No. 12
# ZnNiTe

Crystalline ZnNiTe at its relaxed geometry (PBE, the Alexandria database).

abc: 6.613 5.740 6.299
angles: 90.00 110.29 90.00
Space group C2 (No. 5)
Symmetry-distinct sites (fractional):
Zn 0.091 0.000 0.228 (multiplicity 4)
Ni 0.179 0.296 0.956 (multiplicity 4)
Te 0.173 0.531 0.295 (multiplicity 4)

Calculated values
ρ in g/cm³: 7.5
Energy above the most stable polymorph in this dataset in meV/atom: 132
Volume in Å³/cell: 224
E_form (uncorrected) in meV/atom: -132